(1)
The following is a GGA-PBE calculation of a relaxed structure of SiSnW3, from Alexandria.

Properties
Formation energy without anion corrections (eV/atom): 2.96
Final energy (eV for the cell shown): -33.49
Offset from the most stable computed form (meV/atom): 1748.6
Volume (Å³/cell): 116.3

Cell and atoms, written as CIF:
```
data_SiSnW3
_chemical_formula_sum 'Si1 Sn1 W3'
_space_group_name_H-M_alt 'P m -3 m'
_space_group_IT_number 221
_space_group_name_Hall '-P 4 2 3'
_cell_length_a 4.881
_cell_length_b 4.881
_cell_length_c 4.881
_cell_angle_alpha 90.00
_cell_angle_beta 90.00
_cell_angle_gamma 90.00
loop_
_atom_site_label
_atom_site_fract_x
_atom_site_fract_y
_atom_site_fract_z
Si1 0.000 0.000 0.000
Sn1 0.500 0.500 0.500
W1 0.000 0.500 0.500
```

(2)
The following is a GGA-PBE calculation of a relaxed structure of ReSb2Os, from Alexandria.

Properties
Formation energy without anion corrections (eV/atom): 0.80
Final energy (eV for the cell shown): -57.45
Offset from the most stable computed form (meV/atom): 510.1
Volume (Å³/cell): 147.5

Cell and atoms, written as CIF:
```
data_ReSb2Os
_chemical_formula_sum 'Re2 Sb4 Os2'
_space_group_name_H-M_alt 'I m m 2'
_space_group_IT_number 44
_cell_length_a 3.224
_cell_length_b 4.489
_cell_length_c 10.190
_cell_angle_alpha 90.00
_cell_angle_beta 90.00
_cell_angle_gamma 90.00
loop_
_space_group_symop_operation_xyz
'x,y,z'
'-x,-y,z'
'-x,y,z'
'x,-y,z'
'x+1/2,y+1/2,z+1/2'
'-x+1/2,-y+1/2,z+1/2'
'-x+1/2,y+1/2,z+1/2'
'x+1/2,-y+1/2,z+1/2'
loop_
_atom_site_label
_atom_site_fract_x
_atom_site_fract_y
_atom_site_fract_z
Re1 0.000 0.000 0.000
Sb1 0.000 0.000 0.504
Sb2 0.000 0.500 0.730
Os1 0.000 0.500 0.227
```

(3)
The following is a GGA-PBE calculation of a relaxed structure of RbBaTe2Rh, from Alexandria.

Properties
Formation energy without anion corrections (eV/atom): -0.49
Final energy (eV for the cell shown): -18.98
Volume (Å³/cell): 165.9

Cell and atoms, written as CIF:
```
data_RbBaTe2Rh
_chemical_formula_sum 'Rb1 Ba1 Te2 Rh1'
_space_group_name_H-M_alt 'P 4/m m m'
_space_group_IT_number 123
_space_group_name_Hall '-P 4 2'
_cell_length_a 5.603
_cell_length_b 5.603
_cell_length_c 5.286
_cell_angle_alpha 90.00
_cell_angle_beta 90.00
_cell_angle_gamma 90.00
loop_
_atom_site_label
_atom_site_fract_x
_atom_site_fract_y
_atom_site_fract_z
Rb1 0.000 0.000 0.000
Ba1 0.500 0.500 0.000
Te1 0.000 0.500 0.500
Rh1 0.000 0.000 0.500
```

(4)
The following is a GGA-PBE calculation of a relaxed structure of LaTbGdSn, from Alexandria.

Properties
E_form (eV per atom): -0.29
Final energy (eV for the cell shown): -115.23
Offset from the most stable computed form (meV/atom): 0.0
Volume (Å³/cell): 476.4

Cell and atoms, written as CIF:
```
data_LaTbGdSn
_chemical_formula_sum 'La4 Tb4 Gd4 Sn4'
_space_group_name_H-M_alt 'F -4 3 m'
_space_group_IT_number 216
_space_group_name_Hall 'F -4 2 3'
_cell_length_a 7.810
_cell_length_b 7.810
_cell_length_c 7.810
_cell_angle_alpha 90.00
_cell_angle_beta 90.00
_cell_angle_gamma 90.00
loop_
_atom_site_label
_atom_site_fract_x
_atom_site_fract_y
_atom_site_fract_z
La1 0.000 0.000 0.000
Tb1 0.000 0.000 0.500
Gd1 0.250 0.250 0.750
Sn1 0.250 0.250 0.250
```

(5)
The following is a GGA-PBE calculation of a relaxed structure of MgTlZn2O4, from Alexandria.

Properties
Formation energy without anion corrections (eV/atom): -1.44
Final energy (eV for the cell shown): -75.66
Volume (Å³/cell): 225.0

Cell and atoms, written as CIF:
```
data_MgTlZn2O4
_chemical_formula_sum 'Mg2 Tl2 Zn4 O8'
_space_group_name_H-M_alt 'I -4 2 m'
_space_group_IT_number 121
_space_group_name_Hall 'I -4 2'
_cell_length_a 4.868
_cell_length_b 4.868
_cell_length_c 9.493
_cell_angle_alpha 90.00
_cell_angle_beta 90.00
_cell_angle_gamma 90.00
loop_
_atom_site_label
_atom_site_fract_x
_atom_site_fract_y
_atom_site_fract_z
Mg1 0.000 0.000 0.000
Tl1 0.000 0.000 0.500
Zn1 0.000 0.500 0.250
O1 0.220 0.220 0.137
```

(6)
The following is a GGA-PBE calculation of a relaxed structure of ZnSi2Ni, from Alexandria.

Properties
Formation energy without anion corrections (eV/atom): 0.00
Final energy (eV for the cell shown): -17.91
Volume (Å³/cell): 64.7

Cell and atoms, written as CIF:
```
data_ZnSi2Ni
_chemical_formula_sum 'Zn1 Si2 Ni1'
_space_group_name_H-M_alt 'P 1 2/m 1'
_space_group_IT_number 10
_cell_length_a 4.001
_cell_length_b 4.043
_cell_length_c 4.177
_cell_angle_alpha 90.00
_cell_angle_beta 106.70
_cell_angle_gamma 90.00
loop_
_space_group_symop_operation_xyz
'x,y,z'
'-x,-y,-z'
'-x,y,-z'
'x,-y,z'
loop_
_atom_site_label
_atom_site_fract_x
_atom_site_fract_y
_atom_site_fract_z
Zn1 0.000 0.000 0.000
Si1 0.346 0.500 0.204
Ni1 0.500 0.000 0.500
```

(7)
The following is a GGA-PBE calculation of a relaxed structure of Dy3Ga4Au4, from Alexandria.

Properties
E_form (eV per atom): -0.69
Final energy (eV for the cell shown): -93.17
Offset from the most stable computed form (meV/atom): 9.4
Volume (Å³/cell): 450.9

Cell and atoms, written as CIF:
```
data_Dy3Ga4Au4
_chemical_formula_sum 'Dy6 Ga8 Au8'
_space_group_name_H-M_alt 'I m m m'
_space_group_IT_number 71
_space_group_name_Hall '-I 2 2'
_cell_length_a 3.601
_cell_length_b 4.582
_cell_length_c 27.327
_cell_angle_alpha 90.00
_cell_angle_beta 90.00
_cell_angle_gamma 90.00
loop_
_atom_site_label
_atom_site_fract_x
_atom_site_fract_y
_atom_site_fract_z
Dy1 0.000 0.000 0.000
Dy2 0.000 0.500 0.142
Ga1 0.000 0.000 0.453
Ga2 0.000 0.500 0.312
Au1 0.000 0.000 0.266
Au2 0.000 0.500 0.407
```

(8)
The following is a GGA-PBE calculation of a relaxed structure of RbUMnTe3, from Alexandria.

Properties
Formation energy without anion corrections (eV/atom): -0.63
Final energy (eV for the cell shown): -69.23
Volume (Å³/cell): 444.3

Cell and atoms, written as CIF:
```
data_RbUMnTe3
_chemical_formula_sum 'Rb2 U2 Mn2 Te6'
_space_group_name_H-M_alt 'P 1 21/m 1'
_space_group_IT_number 11
_cell_length_a 10.064
_cell_length_b 4.458
_cell_length_c 10.557
_cell_angle_alpha 90.00
_cell_angle_beta 110.27
_cell_angle_gamma 90.00
loop_
_space_group_symop_operation_xyz
'x,y,z'
'-x,-y,-z'
'-x,y+1/2,-z'
'x,-y+1/2,z'
loop_
_atom_site_label
_atom_site_fract_x
_atom_site_fract_y
_atom_site_fract_z
Rb1 0.207 0.250 0.243
U1 0.329 0.750 0.853
Mn1 0.080 0.250 0.594
Te1 0.115 0.250 0.860
Te2 0.208 0.750 0.537
Te3 0.463 0.750 0.164
```

(9)
The following is a GGA-PBE calculation of a relaxed structure of Ba2PSe, from Alexandria.

Properties
Formation energy without anion corrections (eV/atom): -1.31
Final energy (eV for the cell shown): -17.98
Offset from the most stable computed form (meV/atom): 0.0
Volume (Å³/cell): 146.5

Cell and atoms, written as CIF:
```
data_Ba2PSe
_chemical_formula_sum 'Ba2 P1 Se1'
_space_group_name_H-M_alt 'P 4/m m m'
_space_group_IT_number 123
_space_group_name_Hall '-P 4 2'
_cell_length_a 4.696
_cell_length_b 4.696
_cell_length_c 6.645
_cell_angle_alpha 90.00
_cell_angle_beta 90.00
_cell_angle_gamma 90.00
loop_
_atom_site_label
_atom_site_fract_x
_atom_site_fract_y
_atom_site_fract_z
Ba1 0.000 0.000 0.000
Ba2 0.500 0.500 0.500
P1 0.000 0.000 0.500
Se1 0.500 0.500 0.000
```

(10)
The following is a GGA-PBE calculation of a relaxed structure of K4La3MnS8, from Alexandria.

Properties
Formation energy without anion corrections (eV/atom): -1.58
Final energy (eV for the cell shown): -173.37
Volume (Å³/cell): 894.4

Cell and atoms, written as CIF:
```
data_K4La3MnS8
_chemical_formula_sum 'K8 La6 Mn2 S16'
_space_group_name_H-M_alt 'C 1 2/m 1'
_space_group_IT_number 12
_cell_length_a 14.678
_cell_length_b 8.232
_cell_length_c 8.790
_cell_angle_alpha 90.00
_cell_angle_beta 122.63
_cell_angle_gamma 90.00
loop_
_space_group_symop_operation_xyz
'x,y,z'
'-x,-y,-z'
'-x,y,-z'
'x,-y,z'
'x+1/2,y+1/2,z'
'-x+1/2,-y+1/2,-z'
'-x+1/2,y+1/2,-z'
'x+1/2,-y+1/2,z'
loop_
_atom_site_label
_atom_site_fract_x
_atom_site_fract_y
_atom_site_fract_z
K1 0.000 0.000 0.000
K2 0.000 0.500 0.000
K3 0.250 0.250 0.000
La1 0.000 0.000 0.500
La2 0.250 0.250 0.500
Mn1 0.000 0.500 0.500
S1 0.012 0.287 0.317
S2 0.233 0.000 0.711
S3 0.245 0.000 0.272
```